VASP calculation (PBE+U) on a geometry-optimized AlNi2BO5 structure.

Results
* calculated total energy: -56.2 eV/f.u.
* spin magnetization: 8.00 Bohr magnetons per cell

```
AlNi2BO5
1.0
1.380 -7.311 0.000
1.380 7.311 0.000
0.000 0.000 8.484
Al Ni B O
2 4 2 10
Cartesian
1.380 4.415 4.242 Al
1.380 -4.415 0.000 Al
1.380 5.771 6.566 Ni
1.380 4.925 1.318 Ni
1.380 -4.925 5.559 Ni
1.380 -5.771 2.324 Ni
1.380 0.805 7.797 B
1.380 -0.805 3.556 B
1.380 6.397 4.366 O
1.380 2.877 1.290 O
1.380 2.597 4.134 O
1.380 2.283 7.204 O
1.380 0.181 2.619 O
1.380 -0.181 6.861 O
1.380 -2.283 2.962 O
1.380 -2.597 8.376 O
1.380 -2.877 5.532 O
1.380 -6.397 0.124 O
```